## Li3I4 (PBE)

Data for crystalline Li3I4 at its relaxed geometry.

Geometry as CIF:
```
data_Li3I4
_symmetry_space_group_name_H-M 'R -3 m'
_symmetry_Int_Tables_number 166
_symmetry_space_group_name_Hall '-R 3 2"'
_cell_length_a 4.2540
_cell_length_b 4.2540
_cell_length_c 39.5400
_cell_angle_alpha 90.00
_cell_angle_beta 90.00
_cell_angle_gamma 120.00
loop_
_atom_site_label
_atom_site_fract_x
_atom_site_fract_y
_atom_site_fract_z
_atom_site_occupancy
Li1 0.0000 0.0000 0.0000 1
Li2 0.0000 0.0000 0.2430 1
I1 0.0000 0.0000 0.1277 1
I2 0.0000 0.0000 0.3763 1
```

Computed properties:
The calculation puts the electronic total energy at -54.79 eV for the cell shown.